1.
ZrBr2 | Alexandria via LeMat-Bulk | PBE | relaxed; space group = I4/mcm; final energy = -4.72 eV/atom; density of states at the Fermi level = 2.0 states/eV/f.u.; ρ = 5.6 Mg/m³; E_form (uncorrected) = -0.7539 eV per atom
1.0
-3.4180 3.4180 3.1697
3.4180 -3.4180 3.1697
3.4180 3.4180 -3.1697
Zr Br
2 4
direct
0.7500 0.7500 0.0000
0.2500 0.2500 0.0000
0.1804 0.3196 0.5000
0.8196 0.6804 0.5000
0.6804 0.1804 0.8609
0.3196 0.8196 0.1391

***

2.
BaLiCa | Alexandria via LeMat-Bulk | PBE | relaxed; space group = Cmcm; E above lowest polymorph = 0.007 eV/atom; final energy = -1.91 eV/atom; density of states at the Fermi level = 3.5 states/eV/f.u.; ρ = 2.4 Mg/m³
1.0
4.2595 0.0000 0.0000
0.0000 18.9513 0.0000
0.0000 0.0000 6.3096
Ca Ba Li
4 4 4
direct
0.0000 0.2712 0.2500
0.0000 0.7288 0.7500
0.5000 0.7712 0.2500
0.5000 0.2288 0.7500
0.0000 0.5790 0.2500
0.0000 0.4210 0.7500
0.5000 0.0790 0.2500
0.5000 0.9210 0.7500
0.0000 0.9122 0.2500
0.0000 0.0878 0.7500
0.5000 0.4122 0.2500
0.5000 0.5878 0.7500

***

3.
CaV3Zn | Alexandria via LeMat-Bulk | PBE | relaxed; space group = Pm-3m; E above lowest polymorph = 1.034 eV/atom; final energy = -3.98 eV/atom; density of states at the Fermi level = 7.1 states/eV/f.u.; ρ = 5.1 Mg/m³
1.0
4.3893 0.0000 0.0000
0.0000 4.3893 0.0000
0.0000 0.0000 4.3893
Zn Ca V
1 1 3
direct
0.5000 0.5000 0.5000
0.0000 0.0000 0.0000
0.0000 0.5000 0.0000
0.0000 0.0000 0.5000
0.5000 0.0000 0.0000

***

Question: Among the records above, which one has the lowest density of states at the Fermi level?
Answer: ZrBr2